DFT (PBE) results for a relaxed structure of Er3Bi4Au3.

## Properties
Mass density ... 12.316 Mg/m³
Formation energy from the elements ... -0.62 eV per atom
Total magnetization ... 0.0 μB/cell

a b c (Å): 10.132 10.132 10.132
angles (deg): 90.00 90.00 90.00
Space group I-43d (No. 220)
Inequivalent atoms, fractional coordinates:
1 Er 0.000 0.250 0.375 x12
2 Bi 0.093 0.093 0.093 x16
3 Au 0.000 0.250 0.875 x12